1.
DFT (PBE) results for an optimized crystal structure of YSc2Sb.

Output
space-group type	P2/m (10)

Cell: 4.8193 3.5801 6.3054 Å, 73.04 90.00 90.00°
With the nearest neighbours (Å) after each atom.
Positions (direct):
Sb (0.5000, 0.7500, 0.7500)  4 Sc 2.95, 2 Y 3.14
Sc (0.0000, 0.9054, 0.9808)  2 Sb 2.95, 2 Sc 3.22-3.25
Sc (0.0000, 0.5946, 0.5192)  2 Sb 2.95, 2 Sc 3.22-3.25
Y (0.5000, 0.2500, 0.2500)  2 Sb 3.14, 8 Sc 3.38-3.45



2.
DFT (PBE) results for an optimized crystal structure of YSc2Sb.

Output
space-group type	R-3m (166)

Cell: 10.3042 10.3042 10.3042 Å, 20.79 20.79 20.79°
With the nearest neighbours (Å) after each atom.
Positions (direct):
Y (0.0000, 0.0000, 0.0000)  2 Sc 3.17
Sb (0.5000, 0.5000, 0.5000)  6 Sc 2.84
Sc (0.8950, 0.8950, 0.8950)  3 Sb 2.84, 1 Y 3.17
Sc (0.1050, 0.1050, 0.1050)  3 Sb 2.84, 1 Y 3.17



3.
DFT (PBE) results for an optimized crystal structure of YScSb2.

Output
space-group type	F-43m (216)
offset from the most stable computed form	794	meV/atom

Cell: 5.2638 5.2638 5.2638 Å, 60.00 60.00 60.00°
With the nearest neighbours (Å) after each atom.
Positions (direct):
Sb (0.0000, 0.0000, 0.0000)  4 Y 3.22, 4 Sb 3.22
Sb (0.2500, 0.2500, 0.2500)  4 Sb 3.22, 4 Sc 3.22
Sc (0.5000, 0.5000, 0.5000)  4 Sb 3.22, 4 Y 3.22
Y (0.7500, 0.7500, 0.7500)  4 Sb 3.22, 4 Sc 3.22



| no. | uncorrected formation energy (meV/atom) | electronic total energy (eV per atom) | total magnetization (μB/atom) |
| --- | --- | --- | --- |
| 1 | -370 | -6.1822 | 0.000 |
| 2 | 25 | -5.7873 | 0.364 |
| 3 | -250 | -5.5099 | 0.000 |